Version a
Material: BePbCl2
Method: DFT, GGA-PBE
State: optimized geometry

Unit cell a=7.6951 b=7.6951 c=7.6951 alpha=155.61 beta=139.48 gamma=47.86
With the nearest neighbours (Å) after each atom.
Fractional coordinates of all 4 atoms:
1 Pb 0.3720 0.3720 0.0000  2 Be 2.83, 2 Cl 2.84
2 Be 0.2075 0.7075 0.5000  2 Cl 2.05
3 Cl 0.1192 0.1192 0.0000  2 Be 2.05
4 Cl 0.8013 0.3013 0.5000  2 Pb 2.84

Calculated values
Space group = Imm2 (44)
Total magnetic moment = 0.000 μB/f.u.


Version b
Material: BePbCl2
Method: DFT, GGA-PBE
State: optimized geometry

Unit cell a=6.5597 b=6.5597 c=6.5319 alpha=59.86 beta=59.86 gamma=90.00
With the nearest neighbours (Å) after each atom.
Fractional coordinates of all 8 atoms:
1 Pb 0.0000 0.0000 0.0000  8 Cl 3.59-3.83, 4 Pb 4.01, 4 Be 4.01
2 Pb 0.7500 0.2500 0.5000  8 Cl 3.59-3.83, 4 Pb 4.01, 4 Be 4.01
3 Be 0.5000 0.5000 0.0000  4 Cl 2.02
4 Be 0.2500 0.7500 0.5000  4 Cl 2.02
5 Cl 0.4200 0.1250 0.2500  2 Be 2.02
6 Cl 0.3300 0.6250 0.2500  2 Be 2.02
7 Cl 0.3750 0.5800 0.7500  2 Be 2.02
8 Cl 0.8750 0.6700 0.7500  2 Be 2.02

Calculated values
Space group = I-42d (122)
Total magnetic moment = 0.000 μB/f.u.


Version c
Material: BePbCl2
Method: DFT, GGA-PBE
State: optimized geometry

Unit cell a=6.5436 b=6.5436 c=7.1125 alpha=68.73 beta=68.73 gamma=27.07
With the nearest neighbours (Å) after each atom.
Fractional coordinates of all 4 atoms:
1 Pb 0.2500 0.2500 0.2500  2 Pb 3.06
2 Be 0.7500 0.7500 0.7500  4 Cl 2.12
3 Cl 0.1261 0.1261 0.8471  2 Be 2.12
4 Cl 0.3739 0.3739 0.6529  2 Be 2.12

Calculated values
Space group = C2/m (12)
Total magnetic moment = 0.000 μB/f.u.


Version d
Material: BePbCl2
Method: DFT, GGA-PBE
State: optimized geometry

Unit cell a=5.1371 b=5.1371 c=5.1371 alpha=60.00 beta=60.00 gamma=60.00
With the nearest neighbours (Å) after each atom.
Fractional coordinates of all 4 atoms:
1 Pb 0.5000 0.5000 0.5000  8 Cl 3.15
2 Be 0.0000 0.0000 0.0000  8 Cl 3.15
3 Cl 0.2500 0.2500 0.2500  4 Pb 3.15, 4 Be 3.15
4 Cl 0.7500 0.7500 0.7500  4 Be 3.15, 4 Pb 3.15

Calculated values
Space group = Fm-3m (225)
Total magnetic moment = 0.000 μB/f.u.


On energetic grounds, version c is preferred over the next structure by 0.6 kJ/mol of atoms.


Version a
Material: BePbCl2
Method: DFT, GGA-PBE
State: optimized geometry

Unit cell a=3.2111 b=3.2110 c=10.5775 alpha=90.00 beta=90.00 gamma=90.00
With the nearest neighbours (Å) after each atom.
Fractional coordinates of all 4 atoms:
1 Pb 0.0000 0.0000 0.4758  4 Pb 3.21
2 Be 0.5000 0.5000 0.9770  1 Cl 1.83
3 Cl 0.0000 0.0000 0.8974  4 Be 2.42
4 Cl 0.5000 0.5000 0.1497  1 Be 1.83

Calculated values
Space group = P4mm (99)
Total magnetic moment = 0.000 μB/f.u.


Version b
Material: BePbCl2
Method: DFT, GGA-PBE
State: optimized geometry

Unit cell a=5.0776 b=5.0776 c=5.0776 alpha=60.00 beta=60.00 gamma=60.00
With the nearest neighbours (Å) after each atom.
Fractional coordinates of all 4 atoms:
1 Pb 0.7500 0.7500 0.7500  4 Be 3.11, 4 Cl 3.11
2 Be 0.5000 0.5000 0.5000  4 Pb 3.11, 4 Cl 3.11
3 Cl 0.0000 0.0000 0.0000  4 Cl 3.11, 4 Pb 3.11
4 Cl 0.2500 0.2500 0.2500  4 Cl 3.11, 4 Be 3.11

Calculated values
Space group = F-43m (216)
Total magnetic moment = 0.000 μB/f.u.


Version c
Material: BePbCl2
Method: DFT, GGA-PBE
State: optimized geometry

Unit cell a=8.7263 b=8.7263 c=8.7263 alpha=24.37 beta=24.37 gamma=24.37
With the nearest neighbours (Å) after each atom.
Fractional coordinates of all 4 atoms:
1 Pb 0.4918 0.4918 0.4918  3 Cl 2.88, 3 Be 3.05
2 Be 0.7392 0.7392 0.7392  3 Cl 2.34
3 Cl 0.0339 0.0339 0.0339  3 Be 2.34
4 Cl 0.2351 0.2351 0.2351  3 Pb 2.88

Calculated values
Space group = R3m (160)
Total magnetic moment = 0.000 μB/f.u.


On energetic grounds, version a is preferred over the next structure by 13.7 kJ/mol of atoms.


Version a
Material: BePbCl2
Method: DFT, GGA-PBE
State: optimized geometry

Unit cell a=12.5725 b=12.5725 c=12.5725 alpha=15.03 beta=15.03 gamma=15.03
With the nearest neighbours (Å) after each atom.
Fractional coordinates of all 4 atoms:
1 Pb 0.2500 0.2500 0.2500  6 Pb 3.29
2 Be 0.7500 0.7500 0.7500  6 Cl 2.27
3 Cl 0.0497 0.0497 0.0497  3 Be 2.27
4 Cl 0.4503 0.4503 0.4503  3 Be 2.27

Calculated values
Space group = R-3m (166)
Total magnetic moment = 0.000 μB/f.u.


Version b
Material: BePbCl2
Method: DFT, GGA-PBE
State: optimized geometry

Unit cell a=6.0183 b=6.0183 c=6.0183 alpha=138.55 beta=138.55 gamma=60.06
With the nearest neighbours (Å) after each atom.
Fractional coordinates of all 4 atoms:
1 Pb 0.5000 0.5000 0.0000  8 Cl 3.01-3.36, 4 Be 3.36
2 Be 0.7500 0.2500 0.5000  8 Cl 3.01-3.36, 4 Pb 3.36
3 Cl 0.0000 0.0000 0.0000  4 Pb 3.01, 4 Cl 3.36, 4 Be 3.36
4 Cl 0.2500 0.7500 0.5000  4 Be 3.01, 4 Cl 3.36, 4 Pb 3.36

Calculated values
Space group = I-4m2 (119)
Total magnetic moment = 0.000 μB/f.u.


On energetic grounds, version a is preferred over the next structure by 80.5 kJ/mol of atoms.


Version a
Material: Be3PbCl
Method: DFT, GGA-PBE
State: optimized geometry

Unit cell a=4.8062 b=4.8062 c=4.8062 alpha=90.00 beta=90.00 gamma=90.00
With the nearest neighbours (Å) after each atom.
Fractional coordinates of all 5 atoms:
1 Pb 0.0000 0.0000 0.0000  6 Be 2.40
2 Be 0.0000 0.5000 0.0000  2 Pb 2.40
3 Be 0.0000 0.0000 0.5000  2 Pb 2.40
4 Be 0.5000 0.0000 0.0000  2 Pb 2.40
5 Cl 0.5000 0.5000 0.5000  12 Be 3.40

Calculated values
Space group = Pm-3m (221)
Total magnetic moment = 0.000 μB/f.u.


Version b
Material: Be3PbCl
Method: DFT, GGA-PBE
State: optimized geometry

Unit cell a=4.3688 b=4.3688 c=4.3688 alpha=90.00 beta=90.00 gamma=90.00
With the nearest neighbours (Å) after each atom.
Fractional coordinates of all 5 atoms:
1 Pb 0.5000 0.5000 0.5000  12 Be 3.09
2 Be 0.0000 0.5000 0.0000  2 Cl 2.18
3 Be 0.0000 0.0000 0.5000  2 Cl 2.18
4 Be 0.5000 0.0000 0.0000  2 Cl 2.18
5 Cl 0.0000 0.0000 0.0000  6 Be 2.18

Calculated values
Space group = Pm-3m (221)
Total magnetic moment = 0.000 μB/f.u.


On energetic grounds, version a is preferred over the next structure by 4.5 kJ/mol of atoms.


Version a
Material: BePbCl
Method: DFT, GGA-PBE
State: optimized geometry

Unit cell a=7.8298 b=7.8298 c=7.8298 alpha=156.99 beta=156.99 gamma=32.76
With the nearest neighbours (Å) after each atom.
Fractional coordinates of all 3 atoms:
1 Pb 0.6233 0.6233 0.0000  4 Be 3.11, 4 Pb 3.12, 1 Cl 3.37
2 Be 0.9776 0.9776 0.0000  4 Cl 2.50
3 Cl 0.3991 0.3991 0.0000  4 Be 2.50

Calculated values
Space group = I4mm (107)
Total magnetic moment = 0.000 μB/f.u.


Version b
Material: BePbCl
Method: DFT, GGA-PBE
State: optimized geometry

Unit cell a=4.9436 b=4.9436 c=4.9436 alpha=60.00 beta=60.00 gamma=60.00
With the nearest neighbours (Å) after each atom.
Fractional coordinates of all 3 atoms:
1 Pb 0.7500 0.7500 0.7500  4 Be 3.03, 4 Cl 3.03
2 Be 0.0000 0.0000 0.0000  4 Pb 3.03
3 Cl 0.5000 0.5000 0.5000  4 Pb 3.03

Calculated values
Space group = F-43m (216)
Total magnetic moment = 0.000 μB/f.u.


On energetic grounds, version a is preferred over the next structure by 40.4 kJ/mol of atoms.


Version a
Material: BePbCl
Method: DFT, GGA-PBE
State: optimized geometry

Unit cell a=4.7421 b=4.7421 c=3.2777 alpha=90.00 beta=90.00 gamma=120.00
With the nearest neighbours (Å) after each atom.
Fractional coordinates of all 3 atoms:
1 Pb 0.3333 0.6667 0.6670  6 Be 3.19, 6 Cl 3.19, 2 Pb 3.28
2 Be 0.0000 0.0000 0.1657  3 Cl 2.74
3 Cl 0.6667 0.3333 0.1672  3 Be 2.74

Calculated values
Space group = P-6m2 (187)
Total magnetic moment = 0.000 μB/f.u.


Version b
Material: BePbCl
Method: DFT, GGA-PBE
State: optimized geometry

Unit cell a=4.9664 b=4.9664 c=4.9664 alpha=60.00 beta=60.00 gamma=60.00
With the nearest neighbours (Å) after each atom.
Fractional coordinates of all 3 atoms:
1 Pb 0.0000 0.0000 0.0000  4 Cl 3.04
2 Be 0.5000 0.5000 0.5000  4 Cl 3.04
3 Cl 0.7500 0.7500 0.7500  4 Be 3.04, 4 Pb 3.04

Calculated values
Space group = F-43m (216)
Total magnetic moment = 0.000 μB/f.u.


On energetic grounds, version a is preferred over the next structure by 40.3 kJ/mol of atoms.